# 1
# LuMgScPd (PBE, relaxed)
data_LuMgScPd
_chemical_formula_sum 'Lu1 Mg1 Sc1 Pd1'
_space_group_name_H-M_alt 'P 1'
_space_group_IT_number 1
_space_group_name_Hall 'P 1'
_cell_length_a 4.855
_cell_length_b 4.855
_cell_length_c 4.855
_cell_angle_alpha 60.00
_cell_angle_beta 60.00
_cell_angle_gamma 60.00
loop_
_atom_site_label
_atom_site_type_symbol
_atom_site_fract_x
_atom_site_fract_y
_atom_site_fract_z
_atom_site_occupancy
Lu1 Lu 0.250 0.250 0.250 1
Mg1 Mg 0.750 0.750 0.750 1
Pd1 Pd 0.500 0.500 0.500 1
Sc1 Sc 0.000 0.000 0.000 1
# Crystal system = cubic
# Space-group type = F-43m (216)
# Uncorrected energy = -4.7127 eV/atom
# M_tot = 0.0 μB per formula unit
# Theoretical density = 7.20 g cm⁻³

# 2
# LuMgScPd (PBE, relaxed)
data_LuMgScPd
_chemical_formula_sum 'Lu1 Mg1 Sc1 Pd1'
_space_group_name_H-M_alt 'P 1'
_space_group_IT_number 1
_space_group_name_Hall 'P 1'
_cell_length_a 4.923
_cell_length_b 4.923
_cell_length_c 4.923
_cell_angle_alpha 60.00
_cell_angle_beta 60.00
_cell_angle_gamma 60.00
loop_
_atom_site_label
_atom_site_type_symbol
_atom_site_fract_x
_atom_site_fract_y
_atom_site_fract_z
_atom_site_occupancy
Lu1 Lu 0.500 0.500 0.500 1
Mg1 Mg 0.750 0.750 0.750 1
Pd1 Pd 0.250 0.250 0.250 1
Sc1 Sc 0.000 0.000 0.000 1
# Crystal system = cubic
# Space-group type = F-43m (216)
# Uncorrected energy = -4.8121 eV/atom
# M_tot = 0.0 μB per formula unit
# Theoretical density = 6.90 g cm⁻³

# 3
# LuMg2Pt (PBE, relaxed)
data_LuMg2Pt
_chemical_formula_sum 'Lu1 Mg2 Pt1'
_space_group_name_H-M_alt 'P 1'
_space_group_IT_number 1
_space_group_name_Hall 'P 1'
_cell_length_a 4.795
_cell_length_b 4.795
_cell_length_c 4.795
_cell_angle_alpha 60.00
_cell_angle_beta 60.00
_cell_angle_gamma 60.00
loop_
_atom_site_label
_atom_site_type_symbol
_atom_site_fract_x
_atom_site_fract_y
_atom_site_fract_z
_atom_site_occupancy
Lu1 Lu 0.250 0.250 0.250 1
Mg1 Mg 0.000 0.000 0.000 1
Mg2 Mg 0.750 0.750 0.750 1
Pt1 Pt 0.500 0.500 0.500 1
# Crystal system = cubic
# Space-group type = F-43m (216)
# Uncorrected energy = -3.9987 eV/atom
# M_tot = 0.0 μB per formula unit
# Theoretical density = 8.92 g cm⁻³

- Number 2 is which compound?
  LuMgScPd